No. 1
First-principles (PBE) data for a relaxed structure of ErTm2Co2C2N3, as listed in OQMD.

CIF file:
```
data_ErTm2Co2C2N3
_cell_length_a 3.4033
_cell_length_b 3.4033
_cell_length_c 19.2334
_cell_angle_alpha 90.00
_cell_angle_beta 90.00
_cell_angle_gamma 90.00
_space_group_name_H-M_alt 'I 4/m m m'
_space_group_IT_number 139
_space_group_name_Hall '-I 4 2'
loop_
_atom_site_label
_atom_site_type_symbol
_atom_site_fract_x
_atom_site_fract_y
_atom_site_fract_z
Er1 Er 0.0000 0.0000 0.0000
Tm1 Tm 0.0000 0.0000 0.3738
Co1 Co 0.0000 0.5000 0.2500
C1 C 0.0000 0.0000 0.1934
N1 N 0.0000 0.0000 0.1190
N2 N 0.0000 0.0000 0.5000
```

=====

No. 2
First-principles (PBE) data for a relaxed structure of Er2TmCo2C2N3, as listed in OQMD.

CIF file:
```
data_Er2TmCo2C2N3
_cell_length_a 3.4085
_cell_length_b 3.4085
_cell_length_c 19.2240
_cell_angle_alpha 90.00
_cell_angle_beta 90.00
_cell_angle_gamma 90.00
_space_group_name_H-M_alt 'I 4/m m m'
_space_group_IT_number 139
_space_group_name_Hall '-I 4 2'
loop_
_atom_site_label
_atom_site_type_symbol
_atom_site_fract_x
_atom_site_fract_y
_atom_site_fract_z
Er1 Er 0.0000 0.0000 0.1263
Tm1 Tm 0.0000 0.0000 0.5000
Co1 Co 0.0000 0.5000 0.2500
C1 C 0.0000 0.0000 0.3069
N1 N 0.0000 0.0000 0.0000
N2 N 0.0000 0.0000 0.3814
```

=====

No. 3
First-principles (PBE) data for a relaxed structure of Y2ErCo2C2N3, as listed in OQMD.

CIF file:
```
data_Y2ErCo2C2N3
_cell_length_a 3.4403
_cell_length_b 3.4403
_cell_length_c 19.3370
_cell_angle_alpha 90.00
_cell_angle_beta 90.00
_cell_angle_gamma 90.00
_space_group_name_H-M_alt 'I 4/m m m'
_space_group_IT_number 139
_space_group_name_Hall '-I 4 2'
loop_
_atom_site_label
_atom_site_type_symbol
_atom_site_fract_x
_atom_site_fract_y
_atom_site_fract_z
Y1 Y 0.0000 0.0000 0.1267
Er1 Er 0.0000 0.0000 0.5000
Co1 Co 0.0000 0.5000 0.2500
C1 C 0.0000 0.0000 0.3066
N1 N 0.0000 0.0000 0.0000
N2 N 0.0000 0.0000 0.3805
```

=====

Number 1: total DFT energy (no corrections) -8.09 eV/atom. Number 2: total DFT energy (no corrections) -8.09 eV/atom. Number 3: total DFT energy (no corrections) -8.44 eV/atom.